(1)
Below is NaScSn after structural relaxation, with properties calculated at the PBE level.

a = 5.2003 Å, b = 5.2003 Å, c = 6.1431 Å
α = 90.00°, β = 90.00°, γ = 120.00°
Space group P6_3/mmc (No. 194)
Symmetry-distinct sites (fractional):
Na1 0.0000 0.0000 0.0000
Sc1 0.3333 0.6667 0.2500
Sn1 0.3333 0.6667 0.7500

Properties
Formation enthalpy at 0 K ... -0.385 eV/atom

(2)
Below is NbCr3Cu2S8 after structural relaxation, with properties calculated at the PBE level.

a = 5.7199 Å, b = 7.0748 Å, c = 12.0332 Å
α = 90.00°, β = 90.83°, γ = 90.00°
Space group P2_1/m (No. 11)
Symmetry-distinct sites (fractional):
Nb1 0.0256 0.2500 0.2466
Cr1 0.0000 0.0000 0.5000
Cr2 0.4821 0.2500 0.7429
Cr3 0.5000 0.0000 0.0000
Cu1 0.0900 0.2500 0.9081
Cu2 0.3974 0.2500 0.4038
S1 0.2152 0.7500 0.5830
S2 0.2394 0.2500 0.5795
S3 0.2403 0.5143 0.3321
S4 0.2636 0.2500 0.0827
S5 0.2674 0.5039 0.8311
S6 0.2975 0.7500 0.0872

Properties
Formation energy (no corrections) ... -0.628 eV per atom

(3)
Below is Sm3TmAu4 after structural relaxation, with properties calculated at the PBE level.

a = 3.6281 Å, b = 3.6281 Å, c = 14.6810 Å
α = 90.00°, β = 90.00°, γ = 90.00°
Space group P4/mmm (No. 123)
Symmetry-distinct sites (fractional):
Sm1 0.0000 0.0000 0.0000
Sm2 0.0000 0.0000 0.2539
Tm1 0.0000 0.0000 0.5000
Au1 0.5000 0.5000 0.1256
Au2 0.5000 0.5000 0.3861

Properties
Formation enthalpy at 0 K ... -0.820 eV/atom

(4)
Below is BaTl2SnAs2 after structural relaxation, with properties calculated at the PBE level.

a = 4.9828 Å, b = 9.4130 Å, c = 7.9557 Å
α = 90.00°, β = 90.00°, γ = 90.00°
Space group Pmc2_1 (No. 26)
Symmetry-distinct sites (fractional):
Ba1 0.0000 0.0871 0.0000
Tl1 0.0000 0.3359 0.3331
Tl2 0.5000 0.4396 0.0393
Sn1 0.5000 0.1964 0.6404
As1 0.0000 0.3334 0.7022
As2 0.5000 0.0857 0.2977

Properties
Formation enthalpy at 0 K ... -0.361 eV/atom

(5)
Below is Er4Tm5In2 after structural relaxation, with properties calculated at the PBE level.

a = 24.2410 Å, b = 3.4458 Å, c = 7.9677 Å
α = 90.00°, β = 91.86°, γ = 90.00°
Space group C2/m (No. 12)
Symmetry-distinct sites (fractional):
Er1 0.0468 0.0000 0.1670
Er2 0.0888 0.0000 0.7617
Tm1 0.0000 0.5000 0.5000
Tm2 0.1759 0.0000 0.4156
Tm3 0.2231 0.0000 0.8213
In1 0.1522 0.5000 0.0748

Properties
Formation enthalpy at 0 K ... 0.048 eV/atom

(6)
Below is LiVIN2 after structural relaxation, with properties calculated at the PBE level.

a = 3.7991 Å, b = 3.7991 Å, c = 5.8341 Å
α = 90.00°, β = 90.00°, γ = 90.00°
Space group P4/mmm (No. 123)
Symmetry-distinct sites (fractional):
Li1 0.0000 0.0000 0.0000
V1 0.5000 0.5000 0.5000
I1 0.5000 0.5000 0.0000
N1 0.0000 0.5000 0.5000

Properties
Formation energy (no corrections) ... -0.002 eV per atom

(7)
Below is TlZnIn2Pd after structural relaxation, with properties calculated at the PBE level.

a = 5.1846 Å, b = 5.1846 Å, c = 4.9440 Å
α = 90.00°, β = 90.00°, γ = 90.00°
Space group P4/mmm (No. 123)
Symmetry-distinct sites (fractional):
Tl1 0.0000 0.0000 0.0000
Zn1 0.5000 0.5000 0.0000
In1 0.0000 0.5000 0.5000
Pd1 0.5000 0.5000 0.5000

Properties
Formation enthalpy at 0 K ... -0.076 eV/atom

(8)
Below is Na3H5N2 after structural relaxation, with properties calculated at the PBE level.

a = 6.2310 Å, b = 12.0237 Å, c = 5.4730 Å
α = 90.00°, β = 90.00°, γ = 90.00°
Space group Ibam (No. 72)
Symmetry-distinct sites (fractional):
Na1 0.0000 0.0000 0.2500
Na2 0.1357 0.3626 0.0000
H1 0.0000 0.1836 0.2500
H2 0.0000 0.5000 0.2500
H3 0.1885 0.1540 0.0000
N1 0.0250 0.1698 0.0000

(9)
Below is Ca2MgPb after structural relaxation, with properties calculated at the PBE level.

a = 3.9095 Å, b = 5.4771 Å, c = 11.5867 Å
α = 90.00°, β = 90.00°, γ = 90.00°
Space group Imm2 (No. 44)
Symmetry-distinct sites (fractional):
Ca1 0.0000 0.0000 0.0000
Ca2 0.0000 0.5000 0.2159
Mg1 0.0000 0.0000 0.4523
Pb1 0.0000 0.5000 0.7478

Properties
Formation enthalpy at 0 K ... -0.261 eV/atom

(10)
Below is KMgFe2As after structural relaxation, with properties calculated at the PBE level.

a = 4.8163 Å, b = 4.8163 Å, c = 5.4054 Å
α = 90.00°, β = 90.00°, γ = 90.00°
Space group P4/mmm (No. 123)
Symmetry-distinct sites (fractional):
K1 0.0000 0.0000 0.0000
Mg1 0.0000 0.0000 0.5000
Fe1 0.0000 0.5000 0.5000
As1 0.5000 0.5000 0.0000

Properties
Formation enthalpy at 0 K ... 1.383 eV/atom

(11)
Below is TlSb4Mo after structural relaxation, with properties calculated at the PBE level.

a = 8.8942 Å, b = 8.8942 Å, c = 8.8942 Å
α = 90.00°, β = 90.00°, γ = 90.00°
Space group F-43m (No. 216)
Symmetry-distinct sites (fractional):
Tl1 0.0000 0.0000 0.0000
Sb1 0.1248 0.1248 0.3752
Mo1 0.2500 0.2500 0.7500

Properties
Formation energy (no corrections) ... 0.761 eV per atom

(12)
Below is NaCr2B after structural relaxation, with properties calculated at the PBE level.

a = 4.0927 Å, b = 4.0927 Å, c = 15.3519 Å
α = 90.00°, β = 90.00°, γ = 90.00°
Space group I-42d (No. 122)
Symmetry-distinct sites (fractional):
Na1 0.0000 0.0000 0.0000
Cr1 0.0285 0.2500 0.6250
B1 0.0000 0.0000 0.5000

Properties
Formation enthalpy at 0 K ... 1.258 eV/atom

Number 1: M_tot 0.00 μB per formula unit, energy -25.61 eV per cell. Number 2: M_tot 8.99 μB per formula unit, energy -177.88 eV per cell. Number 3: M_tot 0.00 μB per formula unit, energy -38.30 eV per cell. Number 4: M_tot 0.00 μB per formula unit, energy -44.24 eV per cell. Number 5: M_tot 0.00 μB per formula unit, energy -91.12 eV per cell. Number 6: M_tot 0.26 μB per formula unit, energy -29.24 eV per cell. Number 7: M_tot 0.00 μB per formula unit, energy -14.69 eV per cell. Number 8: M_tot 0.00 μB per formula unit, energy -153.87 eV per cell. Number 9: M_tot 0.00 μB per formula unit, energy -20.70 eV per cell. Number 10: M_tot 6.00 μB per formula unit, energy -17.35 eV per cell. Number 11: M_tot 4.81 μB per formula unit, energy -100.48 eV per cell. Number 12: M_tot 0.00 μB per formula unit, energy -88.84 eV per cell.